Entry from the Alexandria database: ZnHgP3 after structural relaxation (PBE).

The symmetry is Pm-3m, No. 221. The energy above the lowest structure with this stoichiometry comes out at 0 meV/atom. The total energy is -12.86 eV per cell. For the total moment, the calculation gives 0.00 μB per formula unit. The formation enthalpy at 0 K comes out at 4.94 eV per formula unit.

a b c (Å): 4.691 4.691 4.691
angles (deg): 90.00 90.00 90.00
Sites, in units of the cell vectors:
Hg  0.500  0.500  0.500
P  0.500  0.000  0.000
P  0.000  0.000  0.500
P  0.000  0.500  0.000
Zn  0.000  0.000  0.000